Record 1
## PmPu2Pd9 (PBE-GGA)

Data for a relaxed PmPu2Pd9 crystal.

Calculated values
V ... 215.47 Å³ per cell
ΔH_f (0 K) ... -61.9 kJ/mol of atoms
Uncorrected energy ... -7.321 eV/atom

Lattice parameters (Å, degrees): 4.156 4.156 12.477 90.00 90.00 90.00
Fractional coordinates of all 12 atoms:
Pm: 0.000 0.000 0.000
Pu: 0.000 0.000 0.334
Pu: 0.000 0.000 0.666
Pd: 0.000 0.500 0.171
Pd: 0.000 0.500 0.500
Pd: 0.000 0.500 0.829
Pd: 0.500 0.000 0.171
Pd: 0.500 0.000 0.500
Pd: 0.500 0.000 0.829
Pd: 0.500 0.500 0.000
Pd: 0.500 0.500 0.334
Pd: 0.500 0.500 0.666

***

Record 2
## RbSn3Ir (PBE-GGA)

Data for a relaxed RbSn3Ir crystal.

Calculated values
V ... 150.71 Å³ per cell
ΔH_f (0 K) ... 14.2 kJ/mol of atoms
Distance to the lowest polymorph of the same formula ... 317 meV per atom
Uncorrected energy ... -4.220 eV/atom

Lattice parameters (Å, degrees): 5.322 5.322 5.322 90.00 90.00 90.00
Fractional coordinates of all 5 atoms:
Rb: 0.000 0.000 0.000
Sn: 0.000 0.500 0.500
Sn: 0.500 0.000 0.500
Sn: 0.500 0.500 0.000
Ir: 0.500 0.500 0.500

***

Record 3
## Mg6AlSiO8 (PBE-GGA)

Data for a relaxed Mg6AlSiO8 crystal.

Calculated values
V ... 163.50 Å³ per cell
Energy relative to the elements, uncorrected ... -2.297 eV/atom
Distance to the lowest polymorph of the same formula ... 0 meV per atom
Uncorrected energy ... -5.947 eV/atom

Lattice parameters (Å, degrees): 4.170 4.170 9.404 90.00 90.00 90.00
Fractional coordinates of all 16 atoms:
Mg: 0.000 0.000 0.000
Mg: 0.000 0.000 0.500
Mg: 0.000 0.500 0.250
Mg: 0.000 0.500 0.750
Mg: 0.500 0.000 0.250
Mg: 0.500 0.000 0.750
Al: 0.500 0.500 0.000
Si: 0.500 0.500 0.500
O: 0.000 0.000 0.253
O: 0.000 0.000 0.747
O: 0.000 0.500 0.000
O: 0.000 0.500 0.500
O: 0.500 0.000 0.000
O: 0.500 0.000 0.500
O: 0.500 0.500 0.191
O: 0.500 0.500 0.809

***

Record 4
## YAsPSe2 (PBE-GGA)

Data for a relaxed YAsPSe2 crystal.

Calculated values
V ... 134.35 Å³ per cell
Energy relative to the elements, uncorrected ... 0.281 eV/atom
Distance to the lowest polymorph of the same formula ... 569 meV per atom
Uncorrected energy ... -4.417 eV/atom

Lattice parameters (Å, degrees): 4.907 4.907 5.579 90.00 90.00 90.00
Fractional coordinates of all 5 atoms:
Y: 0.000 0.000 0.000
As: 0.000 0.000 0.500
P: 0.500 0.500 0.000
Se: 0.000 0.500 0.500
Se: 0.500 0.000 0.500

***

Record 5
## TiSiNi2 (PBE-GGA)

Data for a relaxed TiSiNi2 crystal.

Calculated values
V ... 108.80 Å³ per cell
Energy relative to the elements, uncorrected ... -0.207 eV/atom
Uncorrected energy ... -6.427 eV/atom

Lattice parameters (Å, degrees): 8.517 8.517 8.517 155.17 155.17 35.40
Fractional coordinates of all 8 atoms:
Ti: 0.000 0.000 0.000
Ti: 0.750 0.250 0.500
Si: 0.250 0.750 0.500
Si: 0.500 0.500 0.000
Ni: 0.147 0.625 0.022
Ni: 0.375 0.397 0.522
Ni: 0.603 0.125 0.978
Ni: 0.875 0.853 0.478

***

Record 6
## TlZnGa (PBE-GGA)

Data for a relaxed TlZnGa crystal.

Calculated values
V ... 139.84 Å³ per cell
ΔH_f (0 K) ... 6.8 kJ/mol of atoms
Uncorrected energy ... -2.152 eV/atom

Lattice parameters (Å, degrees): 3.429 4.434 10.044 89.75 80.47 68.49
Fractional coordinates of all 6 atoms:
Tl: 0.000 0.000 0.000
Tl: 0.423 0.411 0.740
Zn: 0.410 0.905 0.305
Zn: 0.627 0.347 0.418
Ga: 0.182 0.461 0.197
Ga: 0.850 0.798 0.534

***

Record 7
## CaRuPtI2 (PBE-GGA)

Data for a relaxed CaRuPtI2 crystal.

Calculated values
V ... 144.30 Å³ per cell
Energy relative to the elements, uncorrected ... 0.540 eV/atom
Uncorrected energy ... -3.544 eV/atom

Lattice parameters (Å, degrees): 5.155 5.155 5.431 90.00 90.00 90.00
Fractional coordinates of all 5 atoms:
Ca: 0.000 0.000 0.000
Ru: 0.000 0.000 0.500
Pt: 0.500 0.500 0.000
I: 0.000 0.500 0.500
I: 0.500 0.000 0.500

***

Record 8
## Tb6SmCo3 (PBE-GGA)

Data for a relaxed Tb6SmCo3 crystal.

Calculated values
V ... 512.67 Å³ per cell
ΔH_f (0 K) ... -3.5 kJ/mol of atoms
Uncorrected energy ... -5.418 eV/atom

Lattice parameters (Å, degrees): 8.405 8.405 7.270 90.00 90.00 93.53
Fractional coordinates of all 20 atoms:
Tb: 0.000 0.500 0.000
Tb: 0.000 0.500 0.500
Tb: 0.001 0.999 0.500
Tb: 0.285 0.287 0.250
Tb: 0.287 0.285 0.750
Tb: 0.333 0.667 0.750
Tb: 0.500 0.000 0.000
Tb: 0.500 0.000 0.500
Tb: 0.667 0.333 0.250
Tb: 0.713 0.715 0.250
Tb: 0.715 0.713 0.750
Tb: 0.999 0.001 0.000
Sm: 0.310 0.690 0.250
Sm: 0.690 0.310 0.750
Co: 0.030 0.751 0.750
Co: 0.249 0.970 0.750
Co: 0.500 0.500 0.000
Co: 0.500 0.500 0.500
Co: 0.751 0.030 0.250
Co: 0.970 0.249 0.250